InRe2Cl | PBE | relaxed

a = 6.2905 Å, b = 6.2905 Å, c = 6.2905 Å
α = 149.09°, β = 134.18°, γ = 56.30°
Element x y z (fractional)
Re (0.9072, 0.9072, 0.0000)
Re (0.7606, 0.2606, 0.5000)
Cl (0.5568, 0.5568, 0.0000)
In (0.2753, 0.7753, 0.5000)

Computed properties:
**Uncorrected energy**: -0.4816 Ry/atom
**V**: 22.77 Å³/atom
**Raw formation energy**: 0.817 eV per atom
**Energy relative to the lowest polymorph listed for this composition**: 713 meV per atom